[1]
Here is an optimized crystal structure of CoIrCl2 from Alexandria. Energies are from PBE.

Structure (POSCAR):
```
CoIrCl2
1.0
4.4165 0.0000 0.0000
0.0000 4.4165 0.0000
0.0000 0.0000 3.0939
Co Ir Cl
1 1 2
direct
0.0000 0.0000 0.0000
0.5000 0.5000 0.0000
0.0000 0.5000 0.5000
0.5000 0.0000 0.5000
```

Summary:
DOS at the Fermi energy, states/eV/cell: 5.2
Electronic total energy, eV/atom: -3.967
Space-group type: P4/mmm, No. 123
Crystal system: tetragonal
Formation energy (no corrections), meV per atom: 948
E above lowest polymorph, meV/atom: 861

[2]
Here is an optimized crystal structure of Sc3CoCu2 from Alexandria. Energies are from PBE.

Structure (POSCAR):
```
Sc3CoCu2
1.0
3.2082 0.0000 0.0000
0.0000 3.2082 0.0000
0.0000 0.0000 9.7000
Sc Co Cu
3 1 2
direct
0.0000 0.0000 0.0000
0.0000 0.0000 0.3426
0.0000 0.0000 0.6574
0.5000 0.5000 0.5000
0.5000 0.5000 0.1713
0.5000 0.5000 0.8287
```

Summary:
DOS at the Fermi energy, states/eV/cell: 3.8
Electronic total energy, eV/atom: -6.024
ΔH_f (0 K), eV per atom: -0.308
Space-group type: P4/mmm, No. 123
Crystal system: tetragonal

[3]
Here is an optimized crystal structure of Ca2CuPd2 from Alexandria. Energies are from PBE.

Structure (POSCAR):
```
Ca2CuPd2
1.0
4.9274 -2.7933 0.0000
4.9274 2.7933 0.0000
-1.9481 0.0000 7.6642
Ca Cu Pd
4 2 4
direct
0.0143 0.2868 0.1517
0.2868 0.0143 0.6517
0.7132 0.9857 0.3483
0.9857 0.7132 0.8483
0.3465 0.6535 0.2500
0.6535 0.3465 0.7500
0.2422 0.5030 0.4995
0.4970 0.7578 0.0005
0.5030 0.2422 0.9995
0.7578 0.4970 0.5005
```

Summary:
DOS at the Fermi energy, states/eV/cell: 2.9
Electronic total energy, eV/atom: -4.264
ΔH_f (0 K), eV per atom: -0.567
Space-group type: C2/c, No. 15
Crystal system: monoclinic

[4]
Here is an optimized crystal structure of Ca2SeBr from Alexandria. Energies are from PBE.

Structure (POSCAR):
```
Ca2SeBr
1.0
3.6851 -2.1258 0.0000
3.6851 2.1258 0.0000
-2.4360 0.0000 6.9540
Ca Se Br
2 1 1
direct
0.2406 0.2406 0.2225
0.7594 0.7594 0.7775
0.5000 0.5000 0.0000
0.0000 0.0000 0.5000
```

Summary:
DOS at the Fermi energy, states/eV/cell: 1.8
Electronic total energy, eV/atom: -3.938
Space-group type: C2/m, No. 12
Crystal system: monoclinic
Formation energy (no corrections), meV per atom: -1647
E above lowest polymorph, meV/atom: 0